ScTi3F GGA-PBE optimized geometry; E above lowest polymorph = 0 meV/atom; crystal system = cubic; total moment = 0.00 Bohr magnetons per cell; space group = Pm-3m, No. 221; Fermi-level density of states = 6.2 states/eV/f.u.; final energy = -34.69 eV per cell; raw formation energy = -0.561 eV/atom
1.0
-3.309 2.674 -0.841
-2.801 -3.202 0.841
-0.102 1.185 4.171
Ti F Sc
3 1 1
Cartesian
-0.051 0.592 2.085
-1.401 -1.601 0.420
-1.655 1.337 -0.420
0.000 0.000 0.000
-3.106 0.328 2.085

ScTi3F GGA-PBE optimized geometry; E above lowest polymorph = 1742 meV/atom; crystal system = cubic; total moment = 2.18 Bohr magnetons per cell; space group = Pm-3m, No. 221; Fermi-level density of states = 9.7 states/eV/f.u.; final energy = -25.98 eV per cell; raw formation energy = 1.181 eV/atom
1.0
-3.888 2.158 -1.861
-2.696 -1.763 3.587
0.925 3.934 2.628
Ti F Sc
3 1 1
Cartesian
-1.944 1.079 -0.931
0.463 1.967 1.314
-1.348 -0.881 1.793
-2.829 2.165 2.177
0.000 0.000 0.000

Sc3TiF GGA-PBE optimized geometry; E above lowest polymorph = 0 meV/atom; crystal system = cubic; total moment = 0.07 Bohr magnetons per cell; space group = Pm-3m, No. 221; Fermi-level density of states = 7.2 states/eV/f.u.; final energy = -32.78 eV per cell; raw formation energy = -0.803 eV/atom
1.0
4.536 0.000 0.000
0.000 4.536 0.000
0.000 0.000 4.536
Sc F Ti
3 1 1
Cartesian
0.000 2.268 0.000
0.000 0.000 2.268
2.268 0.000 0.000
0.000 0.000 0.000
2.268 2.268 2.268

ScTiF2 GGA-PBE optimized geometry; E above lowest polymorph = 0 meV/atom; crystal system = trigonal; total moment = 1.18 Bohr magnetons per cell; space group = R-3m, No. 166; Fermi-level density of states = 2.3 states/eV/f.u.; final energy = -25.81 eV per cell; raw formation energy = -1.961 eV/atom
1.0
4.737 0.069 5.900
6.104 -1.831 4.079
6.489 1.090 3.736
F Sc Ti
2 1 1
Cartesian
1.655 -0.064 1.310
15.675 -0.608 12.406
8.665 -0.336 6.858
0.000 0.000 0.000